# 1
MgTe2Pt after structural relaxation. Source: Alexandria, functional PBE.

Cell: 3.688 3.688 7.644 Å, 90.00 90.00 90.00°
Space group P4mm (No. 99)
One atom of each set of equivalent atoms:
Mg 0.000 0.000 0.000 [1 per cell]
Te 0.000 0.000 0.367 [1 per cell]
Te 0.500 0.500 0.840 [1 per cell]
Pt 0.500 0.500 0.219 [1 per cell]

Calculated values
Formation energy from raw total energies, eV per atom: -0.34

# 2
Co4AsPt after structural relaxation. Source: Alexandria, functional PBE.

Cell: 6.791 6.791 6.791 Å, 90.00 90.00 90.00°
Space group F-43m (No. 216)
One atom of each set of equivalent atoms:
Co 0.124 0.124 0.124 [16 per cell]
As 0.000 0.000 0.500 [4 per cell]
Pt 0.250 0.250 0.750 [4 per cell]

Calculated values
ΔE_f, eV per atom: 0.24

# 3
Rb2LiCoC6N6 after structural relaxation. Source: Alexandria, functional PBE.

Cell: 7.211 7.487 12.570 Å, 90.00 124.81 90.00°
Space group P2_1/c (No. 14)
One atom of each set of equivalent atoms:
Rb 0.237 0.054 0.251 [4 per cell]
Li 0.000 0.000 0.500 [2 per cell]
Co 0.500 0.000 0.000 [2 per cell]
C 0.266 0.144 0.977 [4 per cell]
C 0.330 0.706 0.473 [4 per cell]
C 0.371 0.010 0.822 [4 per cell]
N 0.121 0.236 0.962 [4 per cell]
N 0.222 0.666 0.956 [4 per cell]
N 0.287 0.018 0.710 [4 per cell]

Calculated values
Formation energy from raw total energies, eV per atom: -0.15

# 4
FeAs after structural relaxation. Source: Alexandria, functional PBE.

Cell: 8.319 3.135 4.352 Å, 90.00 103.70 90.00°
Space group C2/m (No. 12)
One atom of each set of equivalent atoms:
Fe 0.110 0.000 0.318 [4 per cell]
As 0.120 0.500 0.797 [4 per cell]

Calculated values
ΔE_f, eV per atom: 0.03

# 5
RbAcPdF6 after structural relaxation. Source: Alexandria, functional PBE.

Cell: 8.155 8.435 10.636 Å, 90.00 90.00 90.00°
Space group Imma (No. 74)
One atom of each set of equivalent atoms:
Rb 0.000 0.250 0.175 [4 per cell]
Ac 0.250 0.250 0.750 [4 per cell]
Pd 0.000 0.000 0.500 [4 per cell]
F 0.000 0.250 0.635 [4 per cell]
F 0.000 0.250 0.891 [4 per cell]
F 0.179 0.016 0.366 [16 per cell]

Calculated values
Formation energy from raw total energies, eV per atom: -2.81

# 6
SmDy5Y after structural relaxation. Source: Alexandria, functional PBE.

Cell: 11.714 6.743 12.195 Å, 90.00 110.12 90.00°
Space group C2/c (No. 15)
One atom of each set of equivalent atoms:
Sm 0.000 0.028 0.250 [4 per cell]
Dy 0.000 0.413 0.750 [4 per cell]
Dy 0.079 0.266 0.500 [8 per cell]
Dy 0.219 0.364 0.247 [8 per cell]
Y 0.250 0.250 0.000 [4 per cell]

Calculated values
E above lowest polymorph, meV per atom: 0
ΔE_f, eV per atom: 0.18

# 7
ScPPd after structural relaxation. Source: Alexandria, functional PBE.

Cell: 6.592 3.841 11.322 Å, 90.00 90.34 90.00°
Space group P2_1/m (No. 11)
One atom of each set of equivalent atoms:
Sc 0.036 0.250 0.120 [2 per cell]
Sc 0.160 0.250 0.420 [2 per cell]
Sc 0.461 0.750 0.790 [2 per cell]
P 0.243 0.750 0.249 [2 per cell]
P 0.244 0.750 0.582 [2 per cell]
P 0.245 0.250 0.915 [2 per cell]
Pd 0.122 0.250 0.707 [2 per cell]
Pd 0.354 0.750 0.042 [2 per cell]
Pd 0.496 0.750 0.407 [2 per cell]

Calculated values
ΔE_f, eV per atom: -1.23

# 8
CrIrPt2 after structural relaxation. Source: Alexandria, functional PBE.

Cell: 3.311 3.311 5.461 Å, 90.00 90.00 90.00°
Space group P4mm (No. 99)
One atom of each set of equivalent atoms:
Cr 0.000 0.000 0.000 [1 per cell]
Ir 0.500 0.500 0.238 [1 per cell]
Pt 0.000 0.000 0.491 [1 per cell]
Pt 0.500 0.500 0.755 [1 per cell]

Calculated values
ΔE_f, eV per atom: 0.01